# 1
The following is a DFT calculation (PBE-GGA) of an optimized crystal structure of CdSi2C. Values from VASP.

## Properties
- energy relative to the elements, uncorrected (meV per atom) = 1676
- energy above the most stable polymorph in this dataset (meV per atom) = 1130
- symmetry = No. 225

```
&SYSTEM
  ibrav = 0, nat = 4, ntyp = 3
/
ATOMIC_SPECIES
Si 28.09 Si.upf
C 12.01 C.upf
Cd 112.41 Cd.upf
CELL_PARAMETERS angstrom
0.834 -4.317 0.659
-3.177 -3.018 -0.754
0.330 -2.755 -3.473
ATOMIC_POSITIONS crystal
Si 0.250 0.250 0.250
Si 0.750 0.750 0.750
C 0.000 0.000 0.000
Cd 0.500 0.500 0.500
```

=====

# 2
The following is a DFT calculation (PBE-GGA) of an optimized crystal structure of CdSi2C. Values from VASP.

## Properties
- energy relative to the elements, uncorrected (meV per atom) = 545
- energy above the most stable polymorph in this dataset (meV per atom) = 0
- symmetry = No. 122

```
&SYSTEM
  ibrav = 0, nat = 8, ntyp = 3
/
ATOMIC_SPECIES
Si 28.09 Si.upf
C 12.01 C.upf
Cd 112.41 Cd.upf
CELL_PARAMETERS angstrom
5.377 0.000 0.000
0.000 5.377 0.000
2.689 2.689 4.659
ATOMIC_POSITIONS crystal
Si 0.520 0.125 0.250
Si 0.230 0.625 0.250
Si 0.375 0.480 0.750
Si 0.875 0.770 0.750
C 0.500 0.500 0.000
C 0.250 0.750 0.500
Cd 0.000 0.000 0.000
Cd 0.750 0.250 0.500
```

=====

# 3
The following is a DFT calculation (PBE-GGA) of an optimized crystal structure of CdSiC2. Values from VASP.

## Properties
- energy relative to the elements, uncorrected (meV per atom) = 2245
- energy above the most stable polymorph in this dataset (meV per atom) = 1302
- symmetry = No. 225

```
&SYSTEM
  ibrav = 0, nat = 4, ntyp = 3
/
ATOMIC_SPECIES
Si 28.09 Si.upf
C 12.01 C.upf
Cd 112.41 Cd.upf
CELL_PARAMETERS angstrom
-3.266 -2.315 0.729
-1.403 -0.400 3.799
-3.526 1.733 1.060
ATOMIC_POSITIONS crystal
Si 0.000 0.000 0.000
C 0.250 0.250 0.250
C 0.750 0.750 0.750
Cd 0.500 0.500 0.500
```